VASP calculation (GGA-PBE) on an optimized crystal structure of Y3HoTm2Bi6.

CIF file:
```
data_Y3HoTm2Bi6
_chemical_formula_sum 'Y3 Ho1 Tm2 Bi6'
_cell_length_a 7.7312
_cell_length_b 7.7312
_cell_length_c 7.7256
_cell_angle_alpha 99.59
_cell_angle_beta 99.59
_cell_angle_gamma 120.00
_space_group_name_H-M_alt 'P 1'
_space_group_IT_number 1
loop_
_space_group_symop_operation_xyz
'x,y,z'
loop_
_atom_site_label
_atom_site_fract_x
_atom_site_fract_y
_atom_site_fract_z
Tm1 0.6669 0.3331 0.0000
Y1 0.1661 0.8339 0.5000
Bi1 0.4169 0.0824 0.2470
Ho1 0.0000 0.0000 0.0000
Y2 0.8339 0.1661 0.5000
Y3 0.5000 0.5000 0.5000
Bi2 0.7475 0.7475 0.2464
Bi3 0.5831 0.9176 0.7530
Bi4 0.2525 0.2525 0.7536
Tm2 0.3331 0.6669 0.0000
Bi5 0.9176 0.5831 0.7530
Bi6 0.0824 0.4169 0.2470
```

## Properties
space-group type = C2/m


VASP calculation (GGA-PBE) on an optimized crystal structure of Y3Ho2TmBi6.

CIF file:
```
data_Y3Ho2TmBi6
_chemical_formula_sum 'Y3 Ho2 Tm1 Bi6'
_cell_length_a 7.7396
_cell_length_b 7.7396
_cell_length_c 7.7340
_cell_angle_alpha 99.59
_cell_angle_beta 99.59
_cell_angle_gamma 120.01
_space_group_name_H-M_alt 'P 1'
_space_group_IT_number 1
loop_
_space_group_symop_operation_xyz
'x,y,z'
loop_
_atom_site_label
_atom_site_fract_x
_atom_site_fract_y
_atom_site_fract_z
Y1 0.1674 0.8326 0.5000
Tm1 0.0000 0.0000 0.0000
Y2 0.5000 0.5000 0.5000
Bi1 0.5856 0.9177 0.7528
Ho1 0.6663 0.3337 0.0000
Ho2 0.3337 0.6663 0.0000
Bi2 0.2493 0.2493 0.7520
Bi3 0.0823 0.4144 0.2472
Y3 0.8326 0.1674 0.5000
Bi4 0.4144 0.0823 0.2472
Bi5 0.7507 0.7507 0.2480
Bi6 0.9177 0.5856 0.7528
```

## Properties
space-group type = C2/m


VASP calculation (GGA-PBE) on an optimized crystal structure of YHo2TmBi5.

CIF file:
```
data_YHo2TmBi5
_chemical_formula_sum 'Y1 Ho2 Tm1 Bi5'
_cell_length_a 5.3648
_cell_length_b 5.3648
_cell_length_c 11.8519
_cell_angle_alpha 90.00
_cell_angle_beta 90.00
_cell_angle_gamma 90.00
_space_group_name_H-M_alt 'P 1'
_space_group_IT_number 1
loop_
_space_group_symop_operation_xyz
'x,y,z'
loop_
_atom_site_label
_atom_site_fract_x
_atom_site_fract_y
_atom_site_fract_z
Bi1 0.0000 0.0000 0.2468
Bi2 0.0000 0.0000 0.7532
Bi3 0.5000 0.5000 0.0000
Ho1 0.5000 0.5000 0.2662
Ho2 0.5000 0.5000 0.7338
Bi4 0.0000 0.5000 0.5000
Bi5 0.5000 0.0000 0.5000
Y1 0.0000 0.0000 0.0000
Tm1 0.0000 0.0000 0.5000
```

## Properties
space-group type = P4/mmm


VASP calculation (GGA-PBE) on an optimized crystal structure of Y2Ho3TmBi6.

CIF file:
```
data_Y2Ho3TmBi6
_chemical_formula_sum 'Y2 Ho3 Tm1 Bi6'
_cell_length_a 4.4623
_cell_length_b 8.9289
_cell_length_c 9.9792
_cell_angle_alpha 102.86
_cell_angle_beta 102.92
_cell_angle_gamma 90.00
_space_group_name_H-M_alt 'P 1'
_space_group_IT_number 1
loop_
_space_group_symop_operation_xyz
'x,y,z'
loop_
_atom_site_label
_atom_site_fract_x
_atom_site_fract_y
_atom_site_fract_z
Bi1 0.9992 0.2481 0.9985
Bi2 0.3341 0.9187 0.6682
Y1 0.8336 0.6671 0.6672
Bi3 0.6659 0.0813 0.3318
Y2 0.1664 0.3329 0.3328
Bi4 0.6663 0.5841 0.3326
Bi5 0.3337 0.4159 0.6674
Bi6 0.0008 0.7519 0.0015
Ho1 0.1674 0.8332 0.3347
Ho2 0.8326 0.1668 0.6653
Tm1 0.5000 0.0000 0.0000
Ho3 0.5000 0.5000 0.0000
```

## Properties
space-group type = C2/m


Formation enthalpy at 0 K, respectively: -849 -858 19 -848 meV per atom.